A plane-wave DFT calculation with PBE was carried out for a geometry-optimized NpAgPd structure.

extended XYZ file:
```
6
Lattice="2.874 0.000 0.000 -1.398 6.229 0.000 -1.408 -1.001 6.405" Properties=species:S:1:pos:R:3 pbc="T T T"
Np -0.711 0.723 2.922
Np 0.779 4.505 3.483
Ag -0.682 5.128 0.591
Ag 0.751 0.101 5.815
Pd -0.652 2.540 5.066
Pd 0.721 2.688 1.339
```

Offset from the most stable computed form (eV per atom): 0.014
Calculated density (g/cm³): 13.07
SG: P-1 (2)



A plane-wave DFT calculation with PBE was carried out for a geometry-optimized NpAgPd2 structure.

extended XYZ file:
```
4
Lattice="4.457 0.000 0.000 0.000 4.457 0.000 0.000 0.000 3.816" Properties=species:S:1:pos:R:3 pbc="T T T"
Np 0.000 0.000 0.000
Ag 2.229 2.229 0.000
Pd 0.000 2.229 1.908
Pd 2.229 0.000 1.908
```

Offset from the most stable computed form (eV per atom): 0.000
Calculated density (g/cm³): 12.22
SG: P4/mmm (123)



A plane-wave DFT calculation with PBE was carried out for a geometry-optimized NpAg4Pd structure.

extended XYZ file:
```
6
Lattice="0.000 3.898 3.898 3.898 0.000 3.898 3.898 3.898 0.000" Properties=species:S:1:pos:R:3 pbc="T T T"
Np 0.000 0.000 0.000
Ag 2.928 2.928 2.928
Ag 4.868 4.868 2.928
Ag 4.868 2.928 4.868
Ag 2.928 4.868 4.868
Pd 5.847 5.847 5.847
```

Total DFT energy (no corrections) (eV/atom): -4.79
Calculated density (g/cm³): 10.86
SG: F-43m (216)



A plane-wave DFT calculation with PBE was carried out for a geometry-optimized NpAg3Pd12 structure.

extended XYZ file:
```
16
Lattice="4.061 0.000 0.000 0.000 4.061 0.000 0.000 0.000 15.895" Properties=species:S:1:pos:R:3 pbc="T T T"
Np 0.000 0.000 0.000
Ag 0.000 0.000 4.045
Ag 0.000 0.000 7.948
Ag 0.000 0.000 11.851
Pd 0.000 2.031 2.019
Pd 0.000 2.031 6.003
Pd 0.000 2.031 9.892
Pd 0.000 2.031 13.876
Pd 2.031 0.000 2.019
Pd 2.031 0.000 6.003
Pd 2.031 0.000 9.892
Pd 2.031 0.000 13.876
Pd 2.031 2.031 0.000
Pd 2.031 2.031 4.036
Pd 2.031 2.031 7.948
Pd 2.031 2.031 11.859
```

Total DFT energy (no corrections) (eV/atom): -5.37
Calculated density (g/cm³): 11.64
SG: P4/mmm (123)



A plane-wave DFT calculation with PBE was carried out for a geometry-optimized NpAgPd structure.

extended XYZ file:
```
3
Lattice="4.871 0.000 0.000 -2.435 4.218 0.000 0.000 0.000 2.919" Properties=species:S:1:pos:R:3 pbc="T T T"
Np 0.000 0.000 0.000
Ag 2.435 1.406 1.459
Pd 0.000 2.812 1.459
```

Offset from the most stable computed form (eV per atom): 0.000
Calculated density (g/cm³): 12.50
SG: P-6m2 (187)



A plane-wave DFT calculation with PBE was carried out for a geometry-optimized NpAgPd2 structure.

extended XYZ file:
```
4
Lattice="3.480 0.000 0.000 0.000 3.480 0.000 0.000 0.000 6.255" Properties=species:S:1:pos:R:3 pbc="T T T"
Np 0.000 0.000 0.000
Ag 0.000 0.000 3.127
Pd 1.740 1.740 1.650
Pd 1.740 1.740 4.605
```

Offset from the most stable computed form (eV per atom): 0.034
Calculated density (g/cm³): 12.23
SG: P4/mmm (123)